[1]
Density functional theory data (PBE) for an optimized crystal structure of V2PS2.

```
10
Lattice="-0.613 -1.329 -6.697 3.682 -5.727 0.799 -2.435 -1.493 0.519" Properties=species:S:1:pos:R:3 pbc="T T T"
P 0.000 0.000 0.000
P 1.534 -3.528 -2.949
S 2.954 -5.422 -1.739
S 1.818 -4.796 -5.268
S 0.115 -1.633 -4.159
S 1.251 -2.259 -0.630
V 1.119 -4.748 -0.293
V 1.465 -6.428 -3.500
V -0.485 -3.800 -5.086
V -0.831 -2.121 -1.879
```

Results
The value obtained for the polymorph energy (0 for the lowest one) is 186 meV per atom. The uncorrected formation energy comes out at -103 meV/atom. The final energy comes out at -6.483 eV/atom.

[2]
Density functional theory data (PBE) for an optimized crystal structure of HfZnTe3.

```
5
Lattice="5.184 0.000 0.000 0.000 5.184 0.000 0.000 0.000 5.184" Properties=species:S:1:pos:R:3 pbc="T T T"
Zn 0.000 0.000 0.000
Te 0.000 2.592 0.000
Te 0.000 0.000 2.592
Te 2.592 0.000 0.000
Hf 2.592 2.592 2.592
```

Results
The value obtained for the polymorph energy (0 for the lowest one) is 528 meV per atom. The uncorrected formation energy comes out at 516 meV/atom. The final energy comes out at -3.614 eV/atom.

[3]
Density functional theory data (PBE) for an optimized crystal structure of RbSb2Pt.

```
4
Lattice="3.676 0.000 0.000 0.000 3.676 0.000 0.000 0.000 8.259" Properties=species:S:1:pos:R:3 pbc="T T T"
Sb 0.000 0.000 6.866
Sb 0.000 0.000 1.394
Rb 1.838 1.838 4.130
Pt 1.838 1.838 0.000
```

Results
The value obtained for the polymorph energy (0 for the lowest one) is 318 meV per atom. The uncorrected formation energy comes out at -155 meV/atom. The final energy comes out at -3.968 eV/atom.

[4]
Density functional theory data (PBE) for an optimized crystal structure of ScTaZn2.

```
4
Lattice="4.668 0.000 0.000 2.334 4.043 0.000 2.334 1.348 3.811" Properties=species:S:1:pos:R:3 pbc="T T T"
Sc 4.668 2.695 1.906
Ta 7.002 4.043 2.859
Zn 0.000 0.000 0.000
Zn 2.334 1.348 0.953
```

Results
The value obtained for the polymorph energy (0 for the lowest one) is 483 meV per atom. The value obtained for the energy relative to the elements is 0.3595 eV/atom. The final energy comes out at -4.824 eV/atom.

Look up the polymorph energy (0 for the lowest one) of the third one.
318 meV per atom